No. 1
CaTcOs3 | PBE | relaxed

Geometry as extended XYZ:
```
5
Lattice="4.7245 0.0000 0.0000 0.0000 4.7245 0.0000 0.0000 0.0000 4.7245" Properties=species:S:1:pos:R:3 pbc="T T T"
Ca 0.0000 0.0000 0.0000
Tc 2.3622 2.3622 2.3622
Os 0.0000 2.3622 2.3622
Os 2.3622 0.0000 2.3622
Os 2.3622 2.3622 0.0000
```

Formation energy (meV/atom): 1468
Total magnetic moment (μB/cell): 0.00
Symmetry: No. 221
Offset from the most stable computed form (meV/atom): 0



No. 2
CaTcOs2 | PBE | relaxed

Geometry as extended XYZ:
```
4
Lattice="1.4132 0.8159 9.4246 -1.4132 0.8159 9.4246 0.0000 -1.6318 9.4246" Properties=species:S:1:pos:R:3 pbc="T T T"
Ca 0.0000 0.0000 0.0000
Tc 0.0000 0.0000 14.1369
Os 0.0000 0.0000 6.8391
Os 0.0000 0.0000 21.4347
```

Formation energy (meV/atom): 498
Total magnetic moment (μB/cell): 0.00
Symmetry: No. 166
Offset from the most stable computed form (meV/atom): 109



No. 3
CaTc2Os | PBE | relaxed

Geometry as extended XYZ:
```
4
Lattice="1.4250 0.8227 9.5152 -1.4250 0.8227 9.5152 0.0000 -1.6455 9.5152" Properties=species:S:1:pos:R:3 pbc="T T T"
Ca 0.0000 0.0000 0.0000
Tc 0.0000 0.0000 6.8639
Tc 0.0000 0.0000 21.6817
Os 0.0000 0.0000 14.2728
```

Formation energy (meV/atom): 568
Total magnetic moment (μB/cell): 0.00
Symmetry: No. 166
Offset from the most stable computed form (meV/atom): 158



No. 4
CaTc2Os | PBE | relaxed

Geometry as extended XYZ:
```
4
Lattice="4.6807 0.0000 0.0000 0.0000 4.6807 0.0000 0.0000 0.0000 2.9620" Properties=species:S:1:pos:R:3 pbc="T T T"
Ca 0.0000 0.0000 0.0000
Tc 0.0000 2.3403 1.4810
Tc 2.3403 0.0000 1.4810
Os 2.3403 2.3403 0.0000
```

Formation energy (meV/atom): 671
Total magnetic moment (μB/cell): 0.00
Symmetry: No. 123
Offset from the most stable computed form (meV/atom): 261



no.,E (eV/atom)
1,-7.743
2,-8.208
3,-7.923
4,-7.820